[1]
This record from Alexandria describes crystalline BaAsBr at its relaxed geometry. The functional is GGA-PBE.

abc: 4.915 4.915 6.817
angles: 90.00 90.00 120.00
Sites, in units of the cell vectors:
Ba 0.000 0.000 0.000
As 0.667 0.333 0.733
Br 0.333 0.667 0.231

relative energy among the computed polymorphs: 75.8 kJ/mol of atoms
final energy: -3.435 eV per atom

=====

[2]
This record from Alexandria describes crystalline BaAsBr at its relaxed geometry. The functional is GGA-PBE.

abc: 4.666 4.795 11.700
angles: 79.22 78.58 60.97
Sites, in units of the cell vectors:
Ba 0.061 0.081 0.293
Ba 0.939 0.919 0.707
As 0.322 0.371 0.484
As 0.678 0.629 0.516
Br 0.216 0.218 0.855
Br 0.784 0.782 0.145

relative energy among the computed polymorphs: 4.0 kJ/mol of atoms
final energy: -4.179 eV per atom

=====

[3]
This record from Alexandria describes crystalline BaAsBr2 at its relaxed geometry. The functional is GGA-PBE.

abc: 6.046 6.046 5.398
angles: 114.00 114.00 105.14
Sites, in units of the cell vectors:
Ba 0.000 0.000 0.000
As 0.500 0.500 0.000
Br 0.000 0.500 0.500
Br 0.500 0.000 0.500

relative energy among the computed polymorphs: 14.3 kJ/mol of atoms
final energy: -3.363 eV per atom

=====

[4]
This record from Alexandria describes crystalline BaAsBr2 at its relaxed geometry. The functional is GGA-PBE.

abc: 5.005 6.168 5.379
angles: 90.00 105.79 90.00
Sites, in units of the cell vectors:
Ba 0.000 0.000 0.000
As 0.764 0.500 0.141
Br 0.380 0.000 0.593
Br 0.930 0.500 0.744

relative energy among the computed polymorphs: 5.5 kJ/mol of atoms
final energy: -3.454 eV per atom

=====

[5]
This record from Alexandria describes crystalline BaAsBr2 at its relaxed geometry. The functional is GGA-PBE.

abc: 4.206 4.206 8.310
angles: 90.00 90.00 90.00
Sites, in units of the cell vectors:
Ba 0.000 0.000 0.000
As 0.000 0.000 0.500
Br 0.500 0.500 0.209
Br 0.500 0.500 0.791

relative energy among the computed polymorphs: 24.9 kJ/mol of atoms
final energy: -3.252 eV per atom

=====

[6]
This record from Alexandria describes crystalline BaAs2Br at its relaxed geometry. The functional is GGA-PBE.

abc: 3.934 6.542 5.222
angles: 90.00 91.73 90.00
Sites, in units of the cell vectors:
Ba 0.000 0.000 0.000
As 0.242 0.500 0.851
As 0.758 0.500 0.149
Br 0.500 0.000 0.500

relative energy among the computed polymorphs: 3.7 kJ/mol of atoms
final energy: -4.104 eV per atom

=====

[7]
This record from Alexandria describes crystalline BaAsBr at its relaxed geometry. The functional is GGA-PBE.

abc: 10.860 10.860 4.605
angles: 90.08 90.08 24.09
Sites, in units of the cell vectors:
Ba 0.000 0.000 0.000
Ba 0.238 0.238 0.002
As 0.119 0.119 0.501
As 0.566 0.566 0.501
Br 0.392 0.392 0.003
Br 0.772 0.772 0.502

relative energy among the computed polymorphs: 10.6 kJ/mol of atoms
final energy: -4.111 eV per atom

=====

[8]
This record from Alexandria describes crystalline BaAsBr at its relaxed geometry. The functional is GGA-PBE.

abc: 6.418 6.418 6.418
angles: 138.20 138.20 60.59
Sites, in units of the cell vectors:
Ba 0.000 0.000 0.000
As 0.431 0.431 0.000
Br 0.661 0.661 0.000

relative energy among the computed polymorphs: 56.8 kJ/mol of atoms
final energy: -3.632 eV per atom

=====

[9]
This record from Alexandria describes crystalline Ba3AsBr2 at its relaxed geometry. The functional is GGA-PBE.

abc: 8.282 8.282 8.282
angles: 146.51 132.37 59.48
Sites, in units of the cell vectors:
Ba 0.000 0.000 0.000
Ba 0.349 0.349 0.000
Ba 0.651 0.651 0.000
As 0.500 0.000 0.500
Br 0.169 0.669 0.500
Br 0.831 0.331 0.500

final energy: -3.902 eV per atom

=====

[10]
This record from Alexandria describes crystalline Ba8As4Br3 at its relaxed geometry. The functional is GGA-PBE.

abc: 9.594 9.594 9.545
angles: 119.62 119.62 90.86
Sites, in units of the cell vectors:
Ba 0.238 0.762 0.000
Ba 0.248 0.248 0.471
Ba 0.252 0.252 0.013
Ba 0.261 0.739 0.500
Ba 0.739 0.261 0.500
Ba 0.748 0.748 0.987
Ba 0.752 0.752 0.529
Ba 0.762 0.238 0.000
As 0.000 0.000 0.000
As 0.000 0.500 0.000
As 0.500 0.000 0.000
As 0.500 0.500 0.500
Br 0.000 0.000 0.500
Br 0.000 0.500 0.500
Br 0.500 0.000 0.500

final energy: -4.002 eV per atom

=====

[11]
This record from Alexandria describes crystalline Ba3AsBr3 at its relaxed geometry. The functional is GGA-PBE.

abc: 9.645 9.645 9.781
angles: 120.43 120.43 58.06
Sites, in units of the cell vectors:
Ba 0.000 0.500 0.278
Ba 0.000 0.500 0.722
Ba 0.006 0.006 0.256
Ba 0.500 0.000 0.278
Ba 0.500 0.000 0.722
Ba 0.994 0.994 0.744
As 0.232 0.232 0.482
As 0.768 0.768 0.518
Br 0.235 0.765 0.000
Br 0.236 0.764 0.500
Br 0.241 0.241 0.991
Br 0.759 0.759 0.009
Br 0.764 0.236 0.500
Br 0.765 0.235 0.000

final energy: -3.995 eV per atom

=====

[12]
This record from Alexandria describes crystalline BaAs2Br at its relaxed geometry. The functional is GGA-PBE.

abc: 5.948 5.948 3.513
angles: 90.00 90.00 116.93
Sites, in units of the cell vectors:
Ba 0.000 0.000 0.000
As 0.000 0.500 0.500
As 0.500 0.000 0.500
Br 0.500 0.500 0.000

relative energy among the computed polymorphs: 66.3 kJ/mol of atoms
final energy: -3.455 eV per atom